Entry 1:
VASP calculation (PBE-GGA) on crystalline IrOsBr2 at its relaxed geometry.

**Energy relative to the elements, uncorrected**: 1.31 eV/atom
**Final energy**: -18.21 eV for the cell shown
**ΔE to the lowest computed polymorph**: 914 meV per atom
**Total magnetization**: 0.00 Bohr magnetons per cell
**Space-group type**: No. 65
**ρ**: 12.668 g cm⁻³

```
4
Lattice="3.092 -0.006 0.000 -1.723 2.568 0.000 0.000 0.000 8.962" Properties=species:S:1:pos:R:3 pbc="T T T"
Ir 0.685 1.281 2.240
Os 0.685 1.281 6.721
Br 0.000 0.000 8.883
Br 0.000 0.000 4.560
```

***

Entry 2:
VASP calculation (PBE-GGA) on crystalline NaTl7Hg12 at its relaxed geometry.

**Final energy**: -22.19 eV for the cell shown
**Total magnetization**: 0.00 Bohr magnetons per cell
**Space-group type**: No. 148
**DFT formation energy**: -0.034 eV per atom
**ρ**: 11.162 g cm⁻³

```
20
Lattice="-2.692 -0.179 8.464 -2.821 -7.622 -4.167 3.606 -7.323 4.099" Properties=species:S:1:pos:R:3 pbc="T T T"
Na 0.000 0.000 0.000
Tl -2.289 -3.798 7.230
Tl -2.862 -9.639 6.386
Tl 0.243 -9.177 4.276
Tl -1.346 -0.090 4.232
Tl -2.151 -5.947 4.120
Tl 0.954 -5.485 2.010
Tl 0.381 -11.327 1.166
Hg -0.089 -3.250 4.720
Hg -0.873 -8.122 0.949
Hg -0.472 -2.482 1.788
Hg -2.871 -8.906 3.123
Hg 0.357 -10.153 7.513
Hg -0.477 -8.765 10.103
Hg -1.431 -6.359 -1.707
Hg -2.265 -4.971 0.883
Hg 0.963 -6.219 5.273
Hg -1.436 -12.642 6.608
Hg -1.035 -7.002 7.447
Hg -1.819 -11.875 3.677
```

***

Entry 3:
VASP calculation (PBE-GGA) on crystalline CsLiCd2Hg at its relaxed geometry.

**Final energy**: -4.92 eV for the cell shown
**ΔE to the lowest computed polymorph**: 49 meV per atom
**Total magnetization**: 0.00 Bohr magnetons per cell
**Space-group type**: No. 123
**DFT formation energy**: -0.005 eV per atom
**ρ**: 5.095 g cm⁻³

```
5
Lattice="5.855 0.000 0.000 0.000 5.855 0.000 0.000 0.000 5.373" Properties=species:S:1:pos:R:3 pbc="T T T"
Cs 2.928 2.928 2.686
Li 0.000 0.000 2.686
Hg 0.000 0.000 0.000
Cd 0.000 2.928 0.000
Cd 2.928 0.000 0.000
```

***

Entry 4:
VASP calculation (PBE-GGA) on crystalline Tl3Cr2Cl9 at its relaxed geometry.

**Energy relative to the elements, uncorrected**: -1.10 eV/atom
**Final energy**: -116.79 eV for the cell shown
**Total magnetization**: 12.00 Bohr magnetons per cell
**Space-group type**: No. 194
**ρ**: 4.474 g cm⁻³

```
28
Lattice="-2.353 -4.802 4.603 2.143 -2.014 -6.414 16.581 -2.163 6.219" Properties=species:S:1:pos:R:3 pbc="T T T"
Tl 12.436 -1.622 4.664
Tl 4.145 -0.541 1.555
Tl 14.781 -5.913 6.795
Tl 1.590 -3.067 -2.387
Tl 7.989 -3.902 0.013
Tl 8.382 -5.078 4.395
Cr 1.833 -4.223 1.938
Cr 14.538 -4.756 2.469
Cr 11.622 -4.376 1.376
Cr 4.749 -4.604 3.032
Cl 13.373 -5.902 0.678
Cl 13.468 -2.807 1.500
Cl 12.400 -4.988 3.590
Cl 2.999 -3.077 3.730
Cl 2.903 -6.172 2.908
Cl 3.971 -3.992 0.818
Cl 15.403 -3.519 4.202
Cl 15.304 -6.736 3.347
Cl 16.415 -4.470 1.175
Cl 0.968 -5.460 0.206
Cl 1.067 -2.243 1.061
Cl -0.043 -4.510 3.233
Cl 6.222 -6.145 2.177
Cl 6.321 -2.929 3.032
Cl 5.211 -5.195 5.204
Cl 10.149 -2.834 2.231
Cl 10.050 -6.051 1.376
Cl 11.160 -3.784 -0.796
```

***

Entry 5:
VASP calculation (PBE-GGA) on crystalline CsAlC at its relaxed geometry.

**Final energy**: -50.13 eV for the cell shown
**Total magnetization**: 0.00 Bohr magnetons per cell
**Space-group type**: No. 62
**DFT formation energy**: 0.429 eV per atom
**ρ**: 3.510 g cm⁻³

```
12
Lattice="6.798 0.000 0.000 0.000 3.783 0.000 0.000 0.000 12.649" Properties=species:S:1:pos:R:3 pbc="T T T"
Cs 6.298 0.946 4.335
Cs 3.899 2.837 10.659
Cs 0.500 2.837 8.314
Cs 2.899 0.946 1.990
C 2.676 0.946 5.304
C 0.723 2.837 11.629
C 4.122 2.837 7.344
C 6.074 0.946 1.020
Al 0.449 0.946 11.933
Al 2.950 2.837 5.609
Al 6.349 2.837 0.716
Al 3.848 0.946 7.040
```

***

Entry 6:
VASP calculation (PBE-GGA) on crystalline LaCuAs2Br at its relaxed geometry.

**Energy relative to the elements, uncorrected**: 0.43 eV/atom
**Final energy**: -17.83 eV for the cell shown
**ΔE to the lowest computed polymorph**: 896 meV per atom
**Total magnetization**: 1.08 Bohr magnetons per cell
**Space-group type**: No. 123
**ρ**: 3.708 g cm⁻³

```
5
Lattice="-0.074 -3.474 -4.658 -3.586 -3.638 2.771 -4.510 2.870 -2.068" Properties=species:S:1:pos:R:3 pbc="T T T"
As -1.793 -1.819 1.385
As -0.037 -1.737 -2.329
Cu -4.085 -2.121 -1.978
Br -2.255 1.435 -1.034
La 0.000 0.000 0.000
```

***

Entry 7:
VASP calculation (PBE-GGA) on crystalline TeRu2W at its relaxed geometry.

**Energy relative to the elements, uncorrected**: 0.55 eV/atom
**Final energy**: -32.45 eV for the cell shown
**Total magnetization**: 0.00 Bohr magnetons per cell
**Space-group type**: No. 216
**ρ**: 13.152 g cm⁻³

```
4
Lattice="-1.229 -0.303 4.328 2.258 -2.720 2.800 2.627 1.755 3.218" Properties=species:S:1:pos:R:3 pbc="T T T"
Ru 0.000 0.000 0.000
Ru 0.914 -0.317 2.587
Te 1.827 -0.634 5.173
W 2.741 -0.951 7.760
```

***

Entry 8:
VASP calculation (PBE-GGA) on crystalline ScCo2Ir at its relaxed geometry.

**Final energy**: -29.47 eV for the cell shown
**Total magnetization**: 1.17 Bohr magnetons per cell
**Space-group type**: No. 123
**DFT formation energy**: -0.017 eV per atom
**ρ**: 10.690 g cm⁻³

```
4
Lattice="-0.117 -2.104 1.795 2.054 1.137 1.466 -4.815 3.624 3.937" Properties=species:S:1:pos:R:3 pbc="T T T"
Co -0.093 0.070 0.076
Co -2.315 1.742 1.893
Ir -0.235 0.422 2.615
Sc -2.642 2.235 4.583
```